Density functional theory data (PBE) for a relaxed Pr12Tl3Bi crystal.

Unit cell a=5.044 b=5.044 c=20.068 alpha=90.00 beta=90.00 gamma=90.00
Sites, in units of the cell vectors:
Pr 0.000 0.000 0.000
Pr 0.000 0.000 0.249
Pr 0.000 0.000 0.500
Pr 0.000 0.000 0.751
Pr 0.000 0.500 0.124
Pr 0.000 0.500 0.374
Pr 0.000 0.500 0.626
Pr 0.000 0.500 0.876
Pr 0.500 0.000 0.124
Pr 0.500 0.000 0.374
Pr 0.500 0.000 0.626
Pr 0.500 0.000 0.876
Tl 0.500 0.500 0.251
Tl 0.500 0.500 0.500
Tl 0.500 0.500 0.749
Bi 0.500 0.500 0.000

Properties
* VASP energy: -72.685 eV for the cell shown
* D(E_F): 1.37 states/eV per atom

---

Density functional theory data (PBE) for a relaxed Pr4Tl2Bi crystal.

Unit cell a=8.442 b=8.442 c=8.442 alpha=109.51 beta=109.51 gamma=109.40
Sites, in units of the cell vectors:
Pr 0.122 0.016 0.750
Pr 0.122 0.516 0.750
Pr 0.266 0.372 0.250
Pr 0.484 0.234 0.606
Pr 0.628 0.878 0.394
Pr 0.628 0.878 0.894
Pr 0.766 0.372 0.250
Pr 0.984 0.734 0.106
Tl 0.001 0.125 0.376
Tl 0.375 0.999 0.124
Tl 0.749 0.625 0.624
Tl 0.875 0.251 0.876
Bi 0.250 0.750 0.500
Bi 0.500 0.500 0.000

Properties
* VASP energy: -62.364 eV for the cell shown
* D(E_F): 0.95 states/eV per atom

---

Density functional theory data (PBE) for a relaxed Pr6Tl5Bi crystal.

Unit cell a=9.387 b=9.387 c=9.387 alpha=147.38 beta=123.79 gamma=66.53
Sites, in units of the cell vectors:
Pr 0.083 0.834 0.249
Pr 0.250 0.500 0.750
Pr 0.415 0.166 0.249
Pr 0.585 0.834 0.751
Pr 0.750 0.500 0.250
Pr 0.917 0.166 0.751
Tl 0.175 0.675 0.500
Tl 0.334 0.334 0.000
Tl 0.500 0.000 0.500
Tl 0.666 0.666 0.000
Tl 0.825 0.325 0.500
Bi 0.000 0.000 0.000

Properties
* VASP energy: -49.798 eV for the cell shown
* D(E_F): 0.70 states/eV per atom

---

- Which of these has the lowest D(E_F)?
  Pr6Tl5Bi

---

- D(E_F) of number 3 (Pr6Tl5Bi)?
  0.70 states/eV per atom